1.
Cr3SbS, optimized geometry, DFT PBEsol; raw total energy = -7.665 eV/atom; uncorrected formation energy = 0.268 eV per atom; space-group type = No. 221
1.0
4.169 0.000 0.000
0.000 4.169 0.000
0.000 0.000 4.169
Cr Sb S
3 1 1
direct
0.000 0.000 0.500 Cr
0.000 0.500 0.000 Cr
0.500 0.000 0.000 Cr
0.500 0.500 0.500 Sb
0.000 0.000 0.000 S

---

2.
ScCrSiS2, optimized geometry, DFT PBEsol; raw total energy = -6.024 eV/atom; uncorrected formation energy = 0.249 eV per atom; space-group type = No. 123
1.0
4.591 0.000 0.000
0.000 4.591 0.000
0.000 0.000 4.448
Sc Cr Si S
1 1 1 2
direct
0.000 0.000 0.000 Sc
0.500 0.500 0.000 Cr
0.500 0.500 0.500 Si
0.000 0.500 0.500 S
0.500 0.000 0.500 S

---

3.
ScCrTcS2, optimized geometry, DFT PBEsol; raw total energy = -6.943 eV/atom; uncorrected formation energy = 0.433 eV per atom; space-group type = No. 123
1.0
4.553 0.000 0.000
0.000 4.553 0.000
0.000 0.000 4.857
Sc Cr Tc S
1 1 1 2
direct
0.000 0.000 0.000 Sc
0.500 0.500 0.000 Cr
0.000 0.000 0.500 Tc
0.000 0.500 0.500 S
0.500 0.000 0.500 S

---

4.
TiCr2SeS, optimized geometry, DFT PBEsol; raw total energy = -6.901 eV/atom; uncorrected formation energy = 0.507 eV per atom; space-group type = No. 123
1.0
4.132 0.000 0.000
0.000 4.132 0.000
0.000 0.000 5.218
Ti Cr Se S
1 2 1 1
direct
0.000 0.000 0.000 Ti
0.000 0.500 0.500 Cr
0.500 0.000 0.500 Cr
0.500 0.500 0.000 Se
0.500 0.500 0.500 S

---

5.
Y6CrSi2S14, optimized geometry, DFT PBEsol; raw total energy = -7.044 eV/atom; uncorrected formation energy = -1.651 eV per atom; space-group type = No. 143
1.0
9.685 0.000 0.000
-4.842 8.387 0.000
0.000 0.000 5.581
Y Cr Si S
6 1 2 14
direct
0.022 0.559 0.000 Y
0.309 0.107 0.499 Y
0.441 0.463 0.000 Y
0.537 0.978 0.000 Y
0.798 0.691 0.499 Y
0.893 0.202 0.499 Y
0.667 0.333 0.279 Cr
0.000 0.000 0.918 Si
0.333 0.667 0.411 Si
0.000 0.000 0.294 S
0.084 0.852 0.770 S
0.148 0.232 0.770 S
0.187 0.435 0.262 S
0.248 0.813 0.262 S
0.333 0.667 0.787 S
0.426 0.182 0.042 S
0.511 0.421 0.505 S
0.565 0.752 0.262 S
0.579 0.090 0.505 S
0.757 0.574 0.042 S
0.768 0.916 0.770 S
0.818 0.243 0.042 S
0.910 0.489 0.505 S

---

6.
CrSnS2, optimized geometry, DFT PBEsol; raw total energy = -6.351 eV/atom; uncorrected formation energy = -0.533 eV per atom; space-group type = No. 166
1.0
3.394 0.000 0.000
-1.697 2.939 0.000
0.000 0.000 24.181
Cr Sn S
3 3 6
direct
0.000 0.000 0.000 Cr
0.333 0.667 0.667 Cr
0.667 0.333 0.333 Cr
0.000 0.000 0.500 Sn
0.333 0.667 0.167 Sn
0.667 0.333 0.833 Sn
0.000 0.000 0.386 S
0.000 0.000 0.614 S
0.333 0.667 0.053 S
0.333 0.667 0.280 S
0.667 0.333 0.720 S
0.667 0.333 0.947 S

---

| no. | N(E_F) (states/eV/f.u.) |
| --- | --- |
| 1 | 3.169 |
| 2 | 3.761 |
| 3 | 3.634 |
| 4 | 5.008 |
| 5 | 4.038 |
| 6 | 2.333 |